Entry 1:
## PmInGePd (PBE)

Data for a relaxed structure of PmInGePd.

Results
Theoretical density (g/cm3): 8.45
Volume (Å³/cell): 345
Calculated formation energy (eV per atom): -0.540

a = 7.015 Å, b = 7.015 Å, c = 7.015 Å
α = 90.00°, β = 90.00°, γ = 90.00°
Space group F-43m (No. 216)
Unique sites:
1 Pm 0.000 0.000 0.000 [4 per cell]
2 In 0.000 0.000 0.500 [4 per cell]
3 Ge 0.250 0.250 0.250 [4 per cell]
4 Pd 0.250 0.250 0.750 [4 per cell]


Entry 2:
## SrTiI2O (PBE)

Data for a relaxed structure of SrTiI2O.

Results
Theoretical density (g/cm3): 3.89
Volume (Å³/cell): 173
Polymorph energy (0 for the lowest one) (meV per atom): 1155
Uncorrected formation energy (kcal/mol of atoms): -6.1

a = 6.320 Å, b = 6.320 Å, c = 4.332 Å
α = 90.00°, β = 90.00°, γ = 90.00°
Space group P4/mmm (No. 123)
Unique sites:
1 Sr 0.000 0.000 0.000 [1 per cell]
2 Ti 0.500 0.500 0.500 [1 per cell]
3 I 0.000 0.500 0.000 [2 per cell]
4 O 0.000 0.000 0.500 [1 per cell]


Entry 3:
## Na10B19C (PBE)

Data for a relaxed structure of Na10B19C.

Results
Theoretical density (g/cm3): 2.19
Volume (Å³/cell): 339
Polymorph energy (0 for the lowest one) (meV per atom): 19
Calculated formation energy (eV per atom): 0.296

a = 3.0112 Å, b = 3.0112 Å, c = 43.1486 Å
α = 90.00°, β = 90.00°, γ = 120.00°
Space group P-6m2 (No. 187)
Unique sites:
1 Na 0.0000 0.0000 0.0487 [2 per cell]
2 Na 0.0000 0.0000 0.1484 [2 per cell]
3 Na 0.0000 0.0000 0.2486 [2 per cell]
4 Na 0.0000 0.0000 0.3490 [2 per cell]
5 Na 0.0000 0.0000 0.4496 [2 per cell]
6 B 0.3333 0.6667 0.0000 [1 per cell]
7 B 0.3333 0.6667 0.0985 [2 per cell]
8 B 0.3333 0.6667 0.1986 [2 per cell]
9 B 0.3333 0.6667 0.2987 [2 per cell]
10 B 0.3333 0.6667 0.3993 [2 per cell]
11 B 0.3333 0.6667 0.5000 [1 per cell]
12 B 0.6667 0.3333 0.0985 [2 per cell]
13 B 0.6667 0.3333 0.1986 [2 per cell]
14 B 0.6667 0.3333 0.2987 [2 per cell]
15 B 0.6667 0.3333 0.3993 [2 per cell]
16 B 0.6667 0.3333 0.5000 [1 per cell]
17 C 0.6667 0.3333 0.0000 [1 per cell]